## InP2Pb (SCAN)

Data for a PBEsol-optimized structure of InP2Pb.

Cell lengths 3.3623, 3.3623, 9.0867 Å; angles 79.34, 79.34, 60.00 degrees
Fractional positions:
P 0.7294 0.7294 0.8117
P 0.0164 0.0164 0.9506
Pb 0.4916 0.4916 0.5251
In 0.2625 0.2625 0.2125

Total magnetic moment = 0.00 μB per formula unit
Space-group type = R3m (160)
Energy relative to the elements = 137 meV per atom

## InPPb2 (SCAN)

Data for a PBEsol-optimized structure of InPPb2.

Cell lengths 5.1974, 5.1974, 5.1974 Å; angles 60.00, 60.00, 60.00 degrees
Fractional positions:
In 0.5000 0.5000 0.5000
Pb 0.7500 0.7500 0.7500
Pb 0.0000 0.0000 0.0000
P 0.2500 0.2500 0.2500

Total magnetic moment = 0.00 μB per formula unit
Space-group type = F-43m (216)
Energy relative to the elements = 358 meV per atom

## InPPb2 (SCAN)

Data for a PBEsol-optimized structure of InPPb2.

Cell lengths 3.6606, 3.6594, 7.8686 Å; angles 103.30, 90.00, 90.00 degrees
Fractional positions:
Pb 0.0000 0.1732 0.9714
Pb 0.5000 0.8285 0.2786
P 0.5000 0.0292 0.6855
In 0.0000 0.4691 0.5645

Total magnetic moment = 0.00 μB per formula unit
Space-group type = Pm (6)
Energy relative to the elements = 124 meV per atom

## InPPb2 (SCAN)

Data for a PBEsol-optimized structure of InPPb2.

Cell lengths 3.7724, 4.9211, 6.3480 Å; angles 112.33, 107.29, 90.00 degrees
Fractional positions:
In 0.0000 0.5000 0.0000
P 0.5000 0.0000 0.0000
Pb 0.1961 0.1969 0.3922
Pb 0.8039 0.8031 0.6078

Total magnetic moment = 0.00 μB per formula unit
Space-group type = C2/m (12)
Energy relative to the elements = 196 meV per atom

## In2PPb (SCAN)

Data for a PBEsol-optimized structure of In2PPb.

Cell lengths 4.3053, 4.3053, 6.0312 Å; angles 110.91, 110.91, 90.00 degrees
Fractional positions:
P 0.5000 0.5000 0.0000
In 0.7500 0.2500 0.5000
In 0.2500 0.7500 0.5000
Pb 0.0000 0.0000 0.0000

Total magnetic moment = 0.00 μB per formula unit
Space-group type = I4/mmm (139)
Energy relative to the elements = 273 meV per atom

## In2PPb (SCAN)

Data for a PBEsol-optimized structure of In2PPb.

Cell lengths 3.7025, 5.0174, 6.0770 Å; angles 114.38, 107.74, 90.00 degrees
Fractional positions:
In 0.9983 0.9983 0.9966
In 0.2016 0.7016 0.4031
Pb 0.7948 0.2948 0.5895
P 0.5054 0.5054 0.0108

Total magnetic moment = 0.00 μB per formula unit
Space-group type = Imm2 (44)
Energy relative to the elements = 185 meV per atom

## In2PPb (SCAN)

Data for a PBEsol-optimized structure of In2PPb.

Cell lengths 4.1671, 4.2484, 6.1943 Å; angles 108.94, 108.52, 93.14 degrees
Fractional positions:
Pb 0.0000 0.5000 0.0000
In 0.5000 0.5000 0.5000
In 0.0000 0.0000 0.5000
P 0.5000 0.0000 0.0000

Total magnetic moment = 0.00 μB per formula unit
Space-group type = C2/m (12)
Energy relative to the elements = 191 meV per atom

## In3PPb (SCAN)

Data for a PBEsol-optimized structure of In3PPb.

Cell lengths 5.1609, 5.1609, 5.1609 Å; angles 90.00, 90.00, 90.00 degrees
Fractional positions:
In 0.5000 0.0000 0.0000
In 0.0000 0.0000 0.5000
In 0.0000 0.5000 0.0000
Pb 0.5000 0.5000 0.5000
P 0.0000 0.0000 0.0000

Total magnetic moment = 0.00 μB per formula unit
Space-group type = Pm-3m (221)
Energy relative to the elements = 311 meV per atom

## InPPb (SCAN)

Data for a PBEsol-optimized structure of InPPb.

Cell lengths 3.9783, 3.9783, 5.4409 Å; angles 90.00, 90.00, 120.00 degrees
Fractional positions:
P 0.6667 0.3333 0.6889
In 0.0000 0.0000 0.9403
Pb 0.3333 0.6667 0.3707

Total magnetic moment = 0.00 μB per formula unit
Space-group type = P3m1 (156)
Energy relative to the elements = 4 meV per atom

## InPPb2 (SCAN)

Data for a PBEsol-optimized structure of InPPb2.

Cell lengths 3.8629, 3.8629, 8.4150 Å; angles 76.73, 76.73, 60.00 degrees
Fractional positions:
In 0.5178 0.5178 0.4466
Pb 0.9832 0.9832 0.0504
Pb 0.7562 0.7562 0.7314
P 0.2428 0.2428 0.2716

Total magnetic moment = 0.00 μB per formula unit
Space-group type = R3m (160)
Energy relative to the elements = 37 meV per atom

## In2PPb (SCAN)

Data for a PBEsol-optimized structure of In2PPb.

Cell lengths 3.8124, 5.3460, 5.3507 Å; angles 113.24, 90.00, 90.00 degrees
Fractional positions:
In 0.0000 0.2074 0.2923
In 0.0000 0.7926 0.7077
P 0.5000 0.0000 0.5000
Pb 0.5000 0.5000 0.0000

Total magnetic moment = 0.00 μB per formula unit
Space-group type = Cmmm (65)
Energy relative to the elements = 32 meV per atom

## Y2InPPb (SCAN)

Data for a PBEsol-optimized structure of Y2InPPb.

Cell lengths 5.1366, 5.6771, 5.6771 Å; angles 90.00, 90.00, 90.00 degrees
Fractional positions:
P 0.5000 0.0000 0.0000
Y 0.0000 0.5000 0.0000
Y 0.0000 0.0000 0.5000
In 0.5000 0.5000 0.5000
Pb 0.0000 0.0000 0.0000

Total magnetic moment = 0.00 μB per formula unit
Space-group type = P4/mmm (123)
Energy relative to the elements = 399 meV per atom